# 1
## Pa2SnSe6 (PBE)

Data for a relaxed structure of Pa2SnSe6.

```
Pa2SnSe6
1.0
-5.597 -4.443 0.516
0.684 -2.363 9.130
-6.613 6.105 2.901
Se Sn Pa
12 2 4
direct
0.877 0.198 0.069 Se
0.377 0.069 0.198 Se
0.861 0.576 0.687 Se
0.139 0.424 0.313 Se
0.410 0.394 0.882 Se
0.361 0.687 0.576 Se
0.639 0.313 0.424 Se
0.910 0.882 0.394 Se
0.623 0.931 0.802 Se
0.090 0.118 0.606 Se
0.123 0.802 0.931 Se
0.590 0.606 0.118 Se
0.750 0.603 0.397 Sn
0.250 0.397 0.603 Sn
0.490 0.674 0.847 Pa
0.510 0.326 0.153 Pa
0.010 0.153 0.326 Pa
0.990 0.847 0.674 Pa
```

As for the space-group type: C2/c. As for the raw total energy: -107.45 eV for the cell shown. Its uncorrected formation energy is -1.09 eV/atom.



# 2
## SrTeMo2 (PBE)

Data for a relaxed structure of SrTeMo2.

```
SrTeMo2
1.0
-1.184 0.871 5.136
2.075 -0.474 4.900
2.191 5.177 0.755
Mo Te Sr
2 1 1
direct
0.985 0.985 0.109 Mo
0.515 0.515 0.391 Mo
0.250 0.250 0.250 Te
0.750 0.750 0.750 Sr
```

As for the density of states at the Fermi level: 3.02 states/eV/cell. As for the space-group type: C2/m. As for the raw total energy: -24.92 eV for the cell shown. Its uncorrected formation energy is 0.39 eV/atom.



# 3
## BaLaPt4 (PBE)

Data for a relaxed structure of BaLaPt4.

```
BaLaPt4
1.0
5.626 0.000 0.000
2.813 4.872 0.000
2.813 1.624 4.593
La Ba Pt
1 1 4
direct
0.000 0.000 0.000 La
0.250 0.250 0.250 Ba
0.625 0.625 0.124 Pt
0.124 0.625 0.625 Pt
0.625 0.625 0.625 Pt
0.625 0.124 0.625 Pt
```

As for the density of states at the Fermi level: 3.54 states/eV/cell. As for the space-group type: F-43m. The value obtained for the formation energy is -0.891 eV/atom. As for the raw total energy: -36.36 eV for the cell shown.